1.
First-principles (PBE) data for a geometry-optimized Hf2TaTiIr structure, as listed in Alexandria via LeMat-Bulk.

It has space group P4/mmm (No. 123), with a = 5.0158 Å, b = 5.0158 Å, c = 4.7318 Å, α = 90.00°, β = 90.00° and γ = 90.00°. The inequivalent atoms are Hf at (0.0000, 0.5000, 0.0000), Ta at (0.0000, 0.0000, 0.0000), Ti at (0.5000, 0.5000, 0.5000) and Ir at (0.0000, 0.0000, 0.5000).

Its total energy is -42.88 eV per formula unit.


2.
First-principles (PBE) data for a geometry-optimized LiCuS2N structure, as listed in Alexandria via LeMat-Bulk.

It has space group P4/mmm (No. 123), with a = 4.7611 Å, b = 4.7611 Å, c = 3.6066 Å, α = 90.00°, β = 90.00° and γ = 90.00°. The inequivalent atoms are Li at (0.0000, 0.0000, 0.0000), Cu at (0.5000, 0.5000, 0.5000), S at (0.0000, 0.5000, 0.5000) and N at (0.5000, 0.5000, 0.0000).

Its uncorrected formation energy is 0.62 eV/atom. For the energy relative to the lowest polymorph listed for this composition, the calculation gives 0 meV per atom.


3.
First-principles (PBE) data for a geometry-optimized Sc2B2Ru structure, as listed in Alexandria via LeMat-Bulk.

It has space group P4/mbm (No. 127), with a = 6.1289 Å, b = 6.1289 Å, c = 3.4312 Å, α = 90.00°, β = 90.00° and γ = 90.00°. The inequivalent atoms are Sc at (0.1890, 0.3110, 0.0000), B at (0.0992, 0.5992, 0.5000) and Ru at (0.0000, 0.0000, 0.5000).

Its total energy is -38.28 eV per formula unit.


4.
First-principles (PBE) data for a geometry-optimized LiAcPdRh structure, as listed in Alexandria via LeMat-Bulk.

It has space group Cm (No. 8), with a = 7.4758 Å, b = 4.3167 Å, c = 5.6680 Å, α = 90.00°, β = 116.25° and γ = 90.00°. The inequivalent atoms are Li at (0.0000, 0.0000, 0.0000), Ac at (0.0038, 0.5000, 0.5108), Pd at (0.2121, 0.5000, 0.1368) and Rh at (0.2843, 0.0000, 0.8528).

For the energy relative to the lowest polymorph listed for this composition, the calculation gives 0 meV per atom.


5.
First-principles (PBE) data for a geometry-optimized Sm2BiPd structure, as listed in Alexandria via LeMat-Bulk.

It has space group P2_1/m (No. 11), with a = 6.3662 Å, b = 4.4352 Å, c = 8.5080 Å, α = 90.00°, β = 111.71° and γ = 90.00°. The inequivalent atoms are Sm at (0.1756, 0.2500, 0.4049), Sm at (0.2585, 0.7500, 0.0537), Bi at (0.3862, 0.7500, 0.7050) and Pd at (0.1200, 0.2500, 0.7976).

For the energy relative to the lowest polymorph listed for this composition, the calculation gives 0 meV per atom.


6.
First-principles (PBE) data for a geometry-optimized TbZn4GaCu2 structure, as listed in Alexandria via LeMat-Bulk.

It has space group R-3m (No. 166, hexagonal axes), with a = 4.2223 Å, b = 4.2223 Å, c = 26.2730 Å, α = 90.00°, β = 90.00° and γ = 120.00°. The inequivalent atoms are Tb at (0.0000, 0.0000, 0.0000), Zn at (0.0000, 0.0000, 0.1211), Zn at (0.0000, 0.0000, 0.3998), Ga at (0.0000, 0.0000, 0.5000) and Cu at (0.0000, 0.0000, 0.2478).

Its total energy is -22.07 eV per formula unit.


7.
First-principles (PBE) data for a geometry-optimized Ba3C structure, as listed in Alexandria via LeMat-Bulk.

It has space group Fm-3m (No. 225), with a = 7.9542 Å, b = 7.9542 Å, c = 7.9542 Å, α = 90.00°, β = 90.00° and γ = 90.00°. The inequivalent atoms are Ba at (0.0000, 0.0000, 0.0000), Ba at (0.2500, 0.2500, 0.2500) and C at (0.0000, 0.0000, 0.5000).

For the energy relative to the lowest polymorph listed for this composition, the calculation gives 957 meV per atom.


8.
First-principles (PBE) data for a geometry-optimized PmEr3Co8 structure, as listed in Alexandria via LeMat-Bulk.

It has space group R3m (No. 160, hexagonal axes), with a = 5.0635 Å, b = 5.0635 Å, c = 24.8562 Å, α = 90.00°, β = 90.00° and γ = 120.00°. The inequivalent atoms are Pm at (0.0000, 0.0000, 0.0000), Er at (0.0000, 0.0000, 0.1253), Er at (0.0000, 0.0000, 0.5002), Er at (0.0000, 0.0000, 0.6248), Co at (0.0000, 0.0000, 0.3122), Co at (0.0000, 0.0000, 0.8127), Co at (0.0020, 0.5010, 0.0641) and Co at (0.1683, 0.3367, 0.8946).

Its total energy is -77.65 eV per formula unit.


9.
First-principles (PBE) data for a geometry-optimized Pr8Cu2Os structure, as listed in Alexandria via LeMat-Bulk.

It has space group C2/m (No. 12), with a = 17.9929 Å, b = 5.2157 Å, c = 6.9896 Å, α = 90.00°, β = 102.50° and γ = 90.00°. The inequivalent atoms are Pr at (0.0323, 0.0000, 0.2918), Pr at (0.0878, 0.5000, 0.9364), Pr at (0.1635, 0.5000, 0.4716), Pr at (0.2010, 0.0000, 0.8327), Cu at (0.1907, 0.0000, 0.2367) and Os at (0.0000, 0.5000, 0.5000).

For the energy relative to the lowest polymorph listed for this composition, the calculation gives 0 meV per atom.


10.
First-principles (PBE) data for a geometry-optimized PrBeAu4 structure, as listed in Alexandria via LeMat-Bulk.

It has space group P-1 (No. 2), with a = 5.2310 Å, b = 7.1319 Å, c = 7.4436 Å, α = 61.40°, β = 85.74° and γ = 89.96°. The inequivalent atoms are Pr at (0.2502, 0.2158, 0.0007), Be at (0.0000, 0.5000, 0.5000), Be at (0.5000, 0.0000, 0.5000), Au at (0.1076, 0.1359, 0.6065), Au at (0.2203, 0.5068, 0.2108), Au at (0.2791, 0.7172, 0.7883) and Au at (0.3927, 0.7431, 0.3924).

For the energy relative to the lowest polymorph listed for this composition, the calculation gives 61 meV per atom.


11.
First-principles (PBE) data for a geometry-optimized Mg3CdRe structure, as listed in Alexandria via LeMat-Bulk.

It has space group Pm-3m (No. 221), with a = 5.0463 Å, b = 5.0463 Å, c = 5.0463 Å, α = 90.00°, β = 90.00° and γ = 90.00°. The inequivalent atoms are Mg at (0.0000, 0.0000, 0.5000), Cd at (0.0000, 0.0000, 0.0000) and Re at (0.5000, 0.5000, 0.5000).

For the energy relative to the lowest polymorph listed for this composition, the calculation gives 408 meV per atom.


12.
First-principles (PBE) data for a geometry-optimized DyThCdPd structure, as listed in Alexandria via LeMat-Bulk.

It has space group F-43m (No. 216), with a = 7.3771 Å, b = 7.3771 Å, c = 7.3771 Å, α = 90.00°, β = 90.00° and γ = 90.00°. The inequivalent atoms are Dy at (0.0000, 0.0000, 0.0000), Th at (0.0000, 0.0000, 0.5000), Cd at (0.2500, 0.2500, 0.7500) and Pd at (0.2500, 0.2500, 0.2500).

Its total energy is -19.69 eV per formula unit.


Number 1: magnetization 0.0 μB per formula unit. Number 2: magnetization 1.6 μB per formula unit. Number 3: magnetization 0.0 μB per formula unit. Number 4: magnetization 0.0 μB per formula unit. Number 5: magnetization 0.0 μB per formula unit. Number 6: magnetization 0.0 μB per formula unit. Number 7: magnetization 0.8 μB per formula unit. Number 8: magnetization 7.6 μB per formula unit. Number 9: magnetization 0.0 μB per formula unit. Number 10: magnetization 0.0 μB per formula unit. Number 11: magnetization 3.4 μB per formula unit. Number 12: magnetization 0.0 μB per formula unit.